1) This record from the Alexandria database describes Na2SiSn after structural relaxation. The functional is GGA-PBE.

## Properties
Total moment = 0.00 μB per formula unit
DOS at the Fermi energy = 0.066 states/eV/f.u.
Volume = 93.6 Å³ per cell

a b c (Å): 5.0957 5.0957 5.0957
angles (deg): 60.00 60.00 60.00
Last column: nearest neighbours and their distance in Å.
Element x y z (fractional)
Si1 0.0000 0.0000 0.0000  8 Na 3.12
Na1 0.2500 0.2500 0.2500  4 Sn 3.12, 4 Si 3.12
Na2 0.7500 0.7500 0.7500  4 Sn 3.12, 4 Si 3.12
Sn1 0.5000 0.5000 0.5000  8 Na 3.12

2) This record from the Alexandria database describes Na2SiSn after structural relaxation. The functional is GGA-PBE.

## Properties
Total moment = 0.00 μB per formula unit
DOS at the Fermi energy = 1.237 states/eV/f.u.
Volume = 320.5 Å³ per cell

a b c (Å): 11.1134 11.1134 8.2757
angles (deg): 47.82 47.82 90.00
Last column: nearest neighbours and their distance in Å.
Element x y z (fractional)
Sn1 0.0000 0.0000 0.0000  2 Si 2.59
Sn2 0.7500 0.2500 0.5000  2 Si 2.59
Na1 0.3750 0.5699 0.7500  2 Si 2.92
Na2 0.4301 0.1250 0.2500  2 Si 2.92
Na3 0.3199 0.6250 0.2500  2 Si 2.92
Na4 0.8750 0.6801 0.7500  2 Si 2.92
Si1 0.2500 0.7500 0.5000  2 Sn 2.59
Si2 0.5000 0.5000 0.0000  2 Sn 2.59

It comes down to 1), which is 0.051 eV/atom more stable than the next structure.